Record 1
VASP calculation (PBE) on crystalline SiP2BrO at its relaxed geometry.

Unit cell a=4.9134 b=4.9134 c=3.7696 alpha=90.00 beta=90.00 gamma=90.00
With the nearest neighbours (Å) after each atom.
Element x y z (fractional)
P 0.0000 0.5000 0.0000  2 Br 2.46
P 0.5000 0.0000 0.0000  2 Br 2.46
Si 0.5000 0.5000 0.5000  8 P 3.10
O 0.0000 0.0000 0.5000  2 Br 1.88
Br 0.0000 0.0000 0.0000  2 O 1.88

energy relative to the lowest polymorph listed for this composition = 28.05 kcal/mol of atoms
space-group type = P4/mmm (123)

=====

Record 2
VASP calculation (PBE) on crystalline SmPBrO4 at its relaxed geometry.

Unit cell a=6.4768 b=6.4768 c=6.6870 alpha=80.98 beta=80.98 gamma=58.61
With the nearest neighbours (Å) after each atom.
Element x y z (fractional)
Sm 0.2985 0.2985 0.8174  4 O 2.23-2.35
Sm 0.7015 0.7015 0.1826  4 O 2.23-2.35
P 0.6365 0.6365 0.7444  4 O 1.53-1.58
P 0.3635 0.3635 0.2556  4 O 1.53-1.58
Br 0.0224 0.0224 0.3258  1 Br 2.29
Br 0.9776 0.9776 0.6742  1 Br 2.29
O 0.3015 0.3015 0.4786  1 P 1.53
O 0.6985 0.6985 0.5214  1 P 1.53
O 0.1275 0.5137 0.1368  1 P 1.58
O 0.5006 0.5006 0.2345  1 P 1.53
O 0.4863 0.8725 0.8632  1 P 1.58
O 0.5137 0.1275 0.1368  1 P 1.58
O 0.4994 0.4994 0.7655  1 P 1.53
O 0.8725 0.4863 0.8632  1 P 1.58

space-group type = C2/m (12)

=====

Record 3
VASP calculation (PBE) on crystalline SnPBrO2 at its relaxed geometry.

Unit cell a=4.0358 b=4.0358 c=5.0530 alpha=90.00 beta=90.00 gamma=90.00
With the nearest neighbours (Å) after each atom.
Element x y z (fractional)
O 0.0000 0.5000 0.0000  2 Br 2.02
O 0.5000 0.0000 0.0000  2 Br 2.02
P 0.0000 0.0000 0.5000  2 Br 2.53
Sn 0.5000 0.5000 0.5000  4 P 2.85
Br 0.0000 0.0000 0.0000  4 O 2.02

energy relative to the lowest polymorph listed for this composition = 15.61 kcal/mol of atoms
space-group type = P4/mmm (123)

=====

Record 4
VASP calculation (PBE) on crystalline Sn2PBrO at its relaxed geometry.

Unit cell a=4.9726 b=4.9726 c=4.4818 alpha=90.00 beta=90.00 gamma=90.00
With the nearest neighbours (Å) after each atom.
Element x y z (fractional)
O 0.0000 0.0000 0.0000  2 Br 2.24, 4 Sn 2.49
P 0.5000 0.5000 0.5000  8 Sn 3.35, 4 Br 3.52
Sn 0.0000 0.5000 0.0000  2 O 2.49
Sn 0.5000 0.0000 0.0000  2 O 2.49
Br 0.0000 0.0000 0.5000  2 O 2.24

space-group type = P4/mmm (123)

=====

Record 5
VASP calculation (PBE) on crystalline SnPBrO2 at its relaxed geometry.

Unit cell a=3.9498 b=3.9498 c=5.8312 alpha=90.00 beta=90.00 gamma=90.00
With the nearest neighbours (Å) after each atom.
Element x y z (fractional)
O 0.0000 0.5000 0.0000  2 Sn 1.97
O 0.5000 0.0000 0.0000  2 Sn 1.97
P 0.0000 0.0000 0.5000  4 Br 2.79, 2 Sn 2.92
Sn 0.0000 0.0000 0.0000  4 O 1.97
Br 0.5000 0.5000 0.5000  4 P 2.79

energy relative to the lowest polymorph listed for this composition = 0.00 kcal/mol of atoms
space-group type = P4/mmm (123)

=====

Record 6
VASP calculation (PBE) on crystalline Sr5P3BrO12 at its relaxed geometry.

Unit cell a=10.1322 b=10.1322 c=7.2525 alpha=90.00 beta=90.00 gamma=120.00
With the nearest neighbours (Å) after each atom.
Element x y z (fractional)
Br 0.0000 0.0000 0.0000  6 Sr 3.20, 6 O 3.32
Br 0.0000 0.0000 0.5000  6 Sr 3.20, 6 O 3.32
O 0.3449 0.4846 0.2500  1 P 1.56
O 0.5154 0.8603 0.2500  1 P 1.56
O 0.1397 0.6551 0.2500  1 P 1.56
O 0.6551 0.5154 0.7500  1 P 1.56
O 0.4846 0.1397 0.7500  1 P 1.56
O 0.8603 0.3449 0.7500  1 P 1.56
O 0.5876 0.4633 0.2500  1 P 1.57
O 0.5367 0.1244 0.2500  1 P 1.57
O 0.8756 0.4124 0.2500  1 P 1.57
O 0.4124 0.5367 0.7500  1 P 1.57
O 0.4633 0.8756 0.7500  1 P 1.57
O 0.1244 0.5876 0.7500  1 P 1.57
O 0.3580 0.2694 0.0760  1 P 1.56
O 0.7306 0.0886 0.0760  1 P 1.56
O 0.9114 0.6420 0.0760  1 P 1.56
O 0.6420 0.7306 0.5760  1 P 1.56
O 0.2694 0.9114 0.5760  1 P 1.56
O 0.0886 0.3580 0.5760  1 P 1.56
O 0.6420 0.7306 0.9240  1 P 1.56
O 0.2694 0.9114 0.9240  1 P 1.56
O 0.0886 0.3580 0.9240  1 P 1.56
O 0.3580 0.2694 0.4240  1 P 1.56
O 0.7306 0.0886 0.4240  1 P 1.56
O 0.9114 0.6420 0.4240  1 P 1.56
P 0.4090 0.3732 0.2500  4 O 1.56-1.57
P 0.6268 0.0358 0.2500  4 O 1.56-1.57
P 0.9642 0.5910 0.2500  4 O 1.56-1.57
P 0.5910 0.6268 0.7500  4 O 1.56-1.57
P 0.3732 0.9642 0.7500  4 O 1.56-1.57
P 0.0358 0.4090 0.7500  4 O 1.56-1.57
Sr 0.3333 0.6667 0.0019  6 O 2.60-2.62
Sr 0.6667 0.3333 0.5019  6 O 2.60-2.62
Sr 0.6667 0.3333 0.9981  6 O 2.60-2.62
Sr 0.3333 0.6667 0.4981  6 O 2.60-2.62
Sr 0.2597 0.9987 0.2500  5 O 2.43-2.72
Sr 0.0013 0.2610 0.2500  5 O 2.43-2.72
Sr 0.7390 0.7403 0.2500  5 O 2.43-2.72
Sr 0.7403 0.0013 0.7500  5 O 2.43-2.72
Sr 0.9987 0.7390 0.7500  5 O 2.43-2.72
Sr 0.2610 0.2597 0.7500  5 O 2.43-2.72

space-group type = P6_3/m (176)

=====

| no. | total DFT energy (no corrections) (eV/f.u.) | formation energy without anion corrections (eV/f.u.) |
| --- | --- | --- |
| 1 | -16.540 | 6.33 |
| 2 | -48.728 | -17.09 |
| 3 | -18.620 | 2.38 |
| 4 | -19.161 | 0.89 |
| 5 | -22.004 | -1.00 |
| 6 | -146.090 | -60.28 |